1.
Entry from OQMD: Sm2USe5 after structural relaxation (GGA-PBE).

The structure in POSCAR format:
```
Sm2USe5
1.0
12.443 0.000 0.000
0.000 8.345 0.000
0.000 0.000 7.832
Se Sm U
20 8 4
Cartesian
6.219 6.259 0.338 Se
1.222 0.368 1.278 Se
1.222 3.804 1.278 Se
10.162 2.086 1.367 Se
9.763 6.259 1.558 Se
3.541 6.259 2.358 Se
3.940 2.086 2.549 Se
7.444 0.368 2.638 Se
7.444 3.804 2.638 Se
12.440 6.259 3.578 Se
0.003 2.086 4.254 Se
4.999 4.541 5.194 Se
4.999 7.977 5.194 Se
8.503 6.259 5.283 Se
8.902 2.086 5.474 Se
2.680 2.086 6.274 Se
2.282 6.259 6.465 Se
11.221 4.541 6.554 Se
11.221 7.977 6.554 Se
6.225 2.086 7.494 Se
3.996 4.193 0.161 Sm
3.996 8.325 0.161 Sm
10.218 4.193 3.755 Sm
10.218 8.325 3.755 Sm
2.225 0.021 4.077 Sm
2.225 4.152 4.077 Sm
8.447 0.021 7.672 Sm
8.447 4.152 7.672 Sm
0.097 6.259 0.570 U
6.319 6.259 3.346 U
6.124 2.086 4.486 U
12.346 2.086 7.262 U
```


2.
Entry from OQMD: HfCd after structural relaxation (GGA-PBE).

The structure in POSCAR format:
```
HfCd
1.0
-1.946 0.769 3.477
-3.389 -2.033 0.921
0.028 -2.743 2.991
Cd Hf
1 1
Cartesian
0.000 0.000 0.000 Cd
-2.654 -2.003 3.694 Hf
```

Values from the calculation:
- ΔH_f (0 K): 652 meV per atom


3.
Entry from OQMD: SrHgPb2 after structural relaxation (GGA-PBE).

The structure in POSCAR format:
```
SrHgPb2
1.0
0.000 3.960 3.960
3.960 0.000 3.960
3.960 3.960 0.000
Hg Pb Sr
1 2 1
Cartesian
3.960 3.960 3.960 Hg
0.000 0.000 0.000 Pb
5.940 5.940 5.940 Pb
1.980 1.980 1.980 Sr
```


4.
Entry from OQMD: Mo2Se after structural relaxation (GGA-PBE).

The structure in POSCAR format:
```
Mo2Se
1.0
5.090 0.640 1.292
1.301 1.904 4.762
2.236 -3.172 3.597
Mo Se
4 2
Cartesian
4.274 1.194 4.233 Mo
4.741 -1.344 3.651 Mo
2.847 -0.712 5.386 Mo
5.392 -0.392 6.032 Mo
0.000 0.000 0.000 Se
2.157 -0.157 2.413 Se
```

Values from the calculation:
- Polymorph energy (0 for the lowest one): 0.0 meV per atom


5.
Entry from OQMD: Cd2ReAu after structural relaxation (GGA-PBE).

The structure in POSCAR format:
```
Cd2ReAu
1.0
2.218 -3.066 -2.794
-1.911 -4.212 -0.854
-1.731 -0.976 -4.263
Au Cd Re
1 2 1
Cartesian
-0.712 -4.127 -3.956 Au
0.000 0.000 0.000 Cd
-0.356 -2.064 -1.978 Cd
-1.068 -6.191 -5.934 Re
```

Values from the calculation:
- ΔH_f (0 K): 672 meV per atom


6.
Entry from OQMD: Rb2NdErO4 after structural relaxation (GGA-PBE).

The structure in POSCAR format:
```
Rb2NdErO4
1.0
-3.393 0.908 -0.362
0.938 -3.403 -0.109
-1.594 -0.849 12.812
Er Nd O Rb
1 1 4 2
Cartesian
0.000 0.000 0.000 Er
-0.797 -0.425 6.406 Nd
-0.641 -2.038 0.897 O
-1.150 -2.309 4.984 O
-2.900 -1.035 7.357 O
-3.408 -1.306 11.444 O
-2.341 -0.737 2.869 Rb
-1.708 -2.606 9.472 Rb
```


7.
Entry from OQMD: Zr2Zn after structural relaxation (GGA-PBE).

The structure in POSCAR format:
```
Zr2Zn
1.0
-15.370 -3.247 1.228
0.690 -2.991 0.721
0.131 1.172 4.736
Zn Zr
4 8
Cartesian
-10.200 -2.155 0.815 Zn
-2.172 -2.027 0.562 Zn
-11.934 -1.949 3.326 Zn
-3.906 -1.821 3.073 Zn
-0.033 -0.007 0.003 Zr
-4.848 -1.024 0.387 Zr
-7.375 -3.127 0.977 Zr
-12.186 -4.143 1.362 Zr
-1.921 0.167 2.527 Zr
-6.731 -0.850 2.911 Zr
-9.258 -2.952 3.501 Zr
-14.073 -3.969 3.886 Zr
```

Values from the calculation:
- ΔH_f (0 K): -145 meV per atom


8.
Entry from OQMD: LaSmPO after structural relaxation (GGA-PBE).

The structure in POSCAR format:
```
LaSmPO
1.0
-4.120 0.332 1.195
0.781 -2.523 3.396
2.091 7.537 5.119
La O P Sm
2 2 2 2
Cartesian
1.046 3.769 2.559 La
-0.623 2.673 4.855 La
0.000 0.000 0.000 O
-1.669 -1.096 2.295 O
-1.456 2.343 2.076 P
1.878 4.099 5.338 P
0.610 -0.471 2.235 Sm
-0.188 6.913 5.179 Sm
```

Values from the calculation:
- Polymorph energy (0 for the lowest one): 180.8 meV per atom


9.
Entry from OQMD: MgBeCuPb after structural relaxation (GGA-PBE).

The structure in POSCAR format:
```
MgBeCuPb
1.0
0.000 3.286 3.286
3.286 0.000 3.286
3.286 3.286 0.000
Be Cu Mg Pb
1 1 1 1
Cartesian
4.928 4.928 4.928 Be
1.643 1.643 1.643 Cu
3.286 3.286 3.286 Mg
0.000 0.000 0.000 Pb
```

Values from the calculation:
- Polymorph energy (0 for the lowest one): 0.0 meV per atom


10.
Entry from OQMD: NdHoZn after structural relaxation (GGA-PBE).

The structure in POSCAR format:
```
NdHoZn
1.0
-1.470 0.444 4.782
3.085 -3.730 -1.343
11.805 8.749 2.816
Ho Nd Zn
4 4 4
Cartesian
2.975 -1.295 1.035 Ho
6.061 0.992 1.771 Ho
7.359 4.471 4.484 Ho
10.445 6.758 5.220 Ho
0.000 0.000 0.000 Nd
2.951 2.187 0.704 Nd
5.903 4.374 1.408 Nd
8.854 6.562 2.112 Nd
1.474 0.110 3.081 Zn
4.525 2.371 3.808 Zn
8.895 3.093 2.446 Zn
11.946 5.354 3.174 Zn
```

Values from the calculation:
- Polymorph energy (0 for the lowest one): 0.0 meV per atom
- ΔH_f (0 K): -69 meV per atom


11.
Entry from OQMD: NaGdTe3As after structural relaxation (GGA-PBE).

The structure in POSCAR format:
```
NaGdTe3As
1.0
2.179 -7.705 0.000
2.179 7.705 0.000
0.000 0.000 10.848
As Gd Na Te
2 2 2 6
Cartesian
2.179 0.538 2.712 As
2.179 -0.538 8.136 As
0.000 0.000 0.000 Gd
0.000 0.000 5.424 Gd
2.179 -4.191 2.712 Na
2.179 4.191 8.136 Na
2.179 2.194 0.530 Te
2.179 5.942 2.712 Te
2.179 2.194 4.894 Te
2.179 -2.194 5.954 Te
2.179 -5.942 8.136 Te
2.179 -2.194 10.318 Te
```


12.
Entry from OQMD: SmIr after structural relaxation (GGA-PBE).

The structure in POSCAR format:
```
SmIr
1.0
-4.023 0.611 1.837
-2.051 3.947 -0.380
-3.605 0.400 -2.603
Ir Sm
1 1
Cartesian
0.000 0.000 0.000 Ir
-2.420 1.239 -0.286 Sm
```

Values from the calculation:
- ΔH_f (0 K): 215 meV per atom


13.
Entry from OQMD: HfTlAuO3 after structural relaxation (GGA-PBE).

The structure in POSCAR format:
```
HfTlAuO3
1.0
-6.814 7.836 1.541
0.224 -0.434 3.197
8.079 6.951 0.376
Au Hf O Tl
4 4 12 4
Cartesian
-2.201 3.960 0.692 Au
-2.877 9.914 3.183 Au
4.254 4.657 0.333 Au
3.578 10.611 2.824 Au
-5.567 7.084 1.352 Hf
1.313 5.840 2.336 Hf
0.064 8.730 1.180 Hf
6.944 7.487 2.164 Hf
-1.117 2.039 0.355 O
-5.789 8.210 3.156 O
-3.601 7.363 1.252 O
0.752 3.946 2.118 O
-0.087 6.580 0.899 O
-1.123 8.570 2.877 O
2.500 6.001 0.639 O
1.464 7.991 2.617 O
0.625 10.624 1.398 O
4.978 7.207 2.264 O
7.166 6.360 0.360 O
2.494 12.532 3.161 O
-2.329 6.041 2.619 Tl
1.573 2.862 0.278 Tl
-0.196 11.708 3.238 Tl
3.706 8.530 0.897 Tl
```


14.
Entry from OQMD: ZrInCoPd after structural relaxation (GGA-PBE).

The structure in POSCAR format:
```
ZrInCoPd
1.0
0.000 3.265 3.265
3.265 0.000 3.265
3.265 3.265 0.000
Co In Pd Zr
1 1 1 1
Cartesian
4.898 4.898 4.898 Co
0.000 0.000 0.000 In
3.265 3.265 3.265 Pd
1.633 1.633 1.633 Zr
```

Values from the calculation:
- Polymorph energy (0 for the lowest one): 330.7 meV per atom


15.
Entry from OQMD: TbCdPBr2 after structural relaxation (GGA-PBE).

The structure in POSCAR format:
```
TbCdPBr2
1.0
-3.603 1.336 -1.338
0.185 -2.446 3.247
0.755 8.112 6.068
Br Cd P Tb
2 1 1 1
Cartesian
-0.837 1.400 3.652 Br
0.520 5.589 4.180 Br
-0.435 5.724 6.886 Cd
-2.340 0.076 0.190 P
0.106 1.141 0.854 Tb
```


16.
Entry from OQMD: AlAuO2 after structural relaxation (GGA-PBE).

The structure in POSCAR format:
```
AlAuO2
1.0
5.171 0.000 0.000
0.017 5.959 0.000
0.007 0.033 5.963
Al Au O
2 2 4
Cartesian
3.883 0.017 2.979 Al
1.296 0.017 2.984 Al
0.000 0.000 0.000 Au
2.598 2.996 2.981 Au
0.005 0.650 1.916 O
2.605 4.915 2.345 O
2.590 1.077 3.618 O
5.190 5.342 4.046 O
```


17.
Entry from OQMD: YHfHg2 after structural relaxation (GGA-PBE).

The structure in POSCAR format:
```
YHfHg2
1.0
3.670 -2.660 -2.328
-0.212 -5.090 -0.094
-0.993 -2.428 -4.368
Hf Hg Y
1 2 1
Cartesian
1.232 -5.090 -3.395 Hf
0.000 0.000 0.000 Hg
0.616 -2.545 -1.698 Hg
1.849 -7.634 -5.093 Y
```

Values from the calculation:
- ΔH_f (0 K): 254 meV per atom


18.
Entry from OQMD: PmDySi after structural relaxation (GGA-PBE).

The structure in POSCAR format:
```
PmDySi
1.0
-1.104 -4.781 0.292
-4.273 -1.420 1.972
-3.521 -1.889 -2.863
Dy Pm Si
1 1 1
Cartesian
-2.225 -2.022 -0.150 Dy
-6.674 -6.067 -0.450 Pm
0.000 0.000 0.000 Si
```

Values from the calculation:
- Polymorph energy (0 for the lowest one): 0.0 meV per atom


19.
Entry from OQMD: NdSnSbI2 after structural relaxation (GGA-PBE).

The structure in POSCAR format:
```
NdSnSbI2
1.0
-0.587 -4.356 -0.904
3.992 1.479 1.419
-3.227 -1.850 11.005
I Nd Sb Sn
2 1 1 1
Cartesian
-1.052 -0.603 3.589 I
0.289 -1.714 8.067 I
1.965 -0.753 2.352 Nd
0.935 -2.414 -0.114 Sb
-2.720 -1.559 9.275 Sn
```


20.
Entry from OQMD: TaFeBIr after structural relaxation (GGA-PBE).

The structure in POSCAR format:
```
TaFeBIr
1.0
0.000 2.947 2.947
2.947 0.000 2.947
2.947 2.947 0.000
B Fe Ir Ta
1 1 1 1
Cartesian
0.000 0.000 0.000 B
4.421 4.421 4.421 Fe
1.474 1.474 1.474 Ir
2.947 2.947 2.947 Ta
```

Values from the calculation:
- Polymorph energy (0 for the lowest one): 0.0 meV per atom


Number 1: raw total energy -6.374 eV/atom, ρ 7.624 g/cm³. Number 2: raw total energy -4.774 eV/atom, ρ 10.223 g/cm³. Number 3: raw total energy -2.690 eV/atom, ρ 9.395 g/cm³. Number 4: raw total energy -7.661 eV/atom, ρ 8.589 g/cm³. Number 5: raw total energy -3.698 eV/atom, ρ 13.720 g/cm³. Number 6: raw total energy -6.503 eV/atom, ρ 6.493 g/cm³. Number 7: raw total energy -6.265 eV/atom, ρ 6.789 g/cm³. Number 8: raw total energy -6.828 eV/atom, ρ 6.454 g/cm³. Number 9: raw total energy -2.762 eV/atom, ρ 7.118 g/cm³. Number 10: raw total energy -3.604 eV/atom, ρ 7.611 g/cm³. Number 11: raw total energy -3.997 eV/atom, ρ 5.816 g/cm³. Number 12: raw total energy -6.568 eV/atom, ρ 9.043 g/cm³. Number 13: raw total energy -6.852 eV/atom, ρ 11.517 g/cm³. Number 14: raw total energy -5.981 eV/atom, ρ 8.856 g/cm³. Number 15: raw total energy -3.983 eV/atom, ρ 5.268 g/cm³. Number 16: raw total energy -5.835 eV/atom, ρ 4.626 g/cm³. Number 17: raw total energy -4.000 eV/atom, ρ 11.866 g/cm³. Number 18: raw total energy -5.381 eV/atom, ρ 6.634 g/cm³. Number 19: raw total energy -3.995 eV/atom, ρ 5.234 g/cm³. Number 20: raw total energy -8.771 eV/atom, ρ 14.264 g/cm³.